# 1
## Pr4Nd3Te8 (PBE-GGA)

Data for Pr4Nd3Te8 after structural relaxation.

Cell lengths 8.9974, 8.9974, 8.9945 Å; angles 119.98, 119.98, 90.01 degrees
Element x y z (fractional)
Pr: 0.0000 0.0000 0.0000
Pr: 0.0000 0.5000 0.0000
Pr: 0.5000 0.0000 0.0000
Pr: 0.5000 0.5000 0.5000
Nd: 0.0000 0.5000 0.5000
Nd: 0.5000 0.0000 0.5000
Nd: 0.5000 0.5000 0.0000
Te: 0.2437 0.7563 0.5000
Te: 0.2445 0.2445 0.5017
Te: 0.2446 0.2446 0.9875
Te: 0.2508 0.7492 0.0000
Te: 0.7492 0.2508 0.0000
Te: 0.7554 0.7554 0.0125
Te: 0.7555 0.7555 0.4983
Te: 0.7563 0.2437 0.5000

Calculated values
Total magnetic moment   0.00 μB/atom
Total energy   -5.370 eV per atom
ΔE_f (raw)   -1.4665 eV/atom

=====

# 2
## PrNd2Te (PBE-GGA)

Data for PrNd2Te after structural relaxation.

Cell lengths 3.9933, 3.9933, 8.1146 Å; angles 90.00, 90.00, 90.00 degrees
Element x y z (fractional)
Pr: 0.0000 0.0000 0.0000
Nd: 0.5000 0.5000 0.2822
Nd: 0.5000 0.5000 0.7178
Te: 0.0000 0.0000 0.5000

Calculated values
Total magnetic moment   0.00 μB/atom
Total energy   -4.962 eV per atom
ΔE_f (raw)   -0.5982 eV/atom

=====

# 3
## PrNd3Te (PBE-GGA)

Data for PrNd3Te after structural relaxation.

Cell lengths 8.9690, 8.1664, 10.9012 Å; angles 90.00, 118.80, 90.00 degrees
Element x y z (fractional)
Pr: 0.1910 0.0314 0.2772
Pr: 0.1910 0.4686 0.7772
Pr: 0.8090 0.5314 0.2228
Pr: 0.8090 0.9686 0.7228
Nd: 0.0479 0.6981 0.0198
Nd: 0.0479 0.8019 0.5198
Nd: 0.2483 0.0414 0.8999
Nd: 0.2483 0.4586 0.3999
Nd: 0.4237 0.1315 0.6754
Nd: 0.4237 0.3685 0.1754
Nd: 0.5763 0.6315 0.8246
Nd: 0.5763 0.8685 0.3246
Nd: 0.7517 0.5414 0.6001
Nd: 0.7517 0.9586 0.1001
Nd: 0.9521 0.1981 0.4802
Nd: 0.9521 0.3019 0.9802
Te: 0.4323 0.7117 0.0335
Te: 0.4323 0.7883 0.5335
Te: 0.5677 0.2117 0.4665
Te: 0.5677 0.2883 0.9665

Calculated values
Total magnetic moment   0.00 μB/atom
Total energy   -4.861 eV per atom
ΔE_f (raw)   -0.4163 eV/atom